1.
# Cs2HgMoO4

An optimized crystal structure of Cs2HgMoO4 (PBE+U, Alexandria).

* ρ: 4.36 Mg/m³
* space-group type: I-4
* raw total energy: -5.19 eV/atom
* D(E_F): 0.0000 states/eV per atom

a = 6.7655 Å, b = 6.7655 Å, c = 6.7655 Å
α = 109.04°, β = 109.04°, γ = 110.34°
Last column: nearest neighbours and their distance in Å.
Atoms (fractional coordinates):
Cs (0.0000, 0.0000, 0.0000)  4 O 3.15
Cs (0.7500, 0.2500, 0.5000)  4 O 2.96
Hg (0.2500, 0.7500, 0.5000)  4 O 3.47, 2 Cs 3.86
Mo (0.5000, 0.5000, 0.0000)  4 O 1.80
O (0.2069, 0.2599, 0.7441)  1 Mo 1.80
O (0.5157, 0.4628, 0.2559)  1 Mo 1.80
O (0.5372, 0.7931, 0.0530)  1 Mo 1.80
O (0.7401, 0.4843, 0.9470)  1 Mo 1.80

***

2.
# CsHgMoO4

An optimized crystal structure of CsHgMoO4 (PBE+U, Alexandria).

* ρ: 5.32 Mg/m³
* space-group type: P2_1/m
* raw total energy: -5.37 eV/atom
* D(E_F): 0.2322 states/eV per atom

a = 6.4238 Å, b = 6.0587 Å, c = 8.3919 Å
α = 90.00°, β = 109.31°, γ = 90.00°
Last column: nearest neighbours and their distance in Å.
Atoms (fractional coordinates):
Cs (0.2248, 0.2500, 0.0641)  8 O 3.07-3.32
Cs (0.7752, 0.7500, 0.9359)  8 O 3.07-3.32
Hg (0.0925, 0.7500, 0.5777)  3 O 2.45-2.67
Hg (0.9075, 0.2500, 0.4223)  3 O 2.45-2.67
Mo (0.4492, 0.2500, 0.6846)  4 O 1.78-1.82
Mo (0.5508, 0.7500, 0.3154)  4 O 1.78-1.82
O (0.2566, 0.7500, 0.2328)  1 Mo 1.78
O (0.3367, 0.2500, 0.4581)  1 Mo 1.80
O (0.3484, 0.0109, 0.7681)  1 Mo 1.82
O (0.3484, 0.4891, 0.7681)  1 Mo 1.82
O (0.6516, 0.5109, 0.2319)  1 Mo 1.82
O (0.6516, 0.9891, 0.2319)  1 Mo 1.82
O (0.6633, 0.7500, 0.5419)  1 Mo 1.80
O (0.7434, 0.2500, 0.7672)  1 Mo 1.78

***

3.
# CsHg2Mo2O7

An optimized crystal structure of CsHg2Mo2O7 (PBE+U, Alexandria).

* ρ: 4.88 Mg/m³
* space-group type: R32
* raw total energy: -5.47 eV/atom
* D(E_F): 0.2061 states/eV per atom

a = 9.6621 Å, b = 9.6621 Å, c = 9.6621 Å
α = 36.45°, β = 36.45°, γ = 36.45°
Last column: nearest neighbours and their distance in Å.
Atoms (fractional coordinates):
Cs (0.0000, 0.0000, 0.0000)  6 O 3.15
Hg (0.1896, 0.1896, 0.1896)  3 O 2.78
Hg (0.8104, 0.8104, 0.8104)  3 O 2.78
Mo (0.4289, 0.4289, 0.4289)  4 O 1.77-1.92
Mo (0.5711, 0.5711, 0.5711)  4 O 1.77-1.92
O (0.1098, 0.4578, 0.6527)  1 Mo 1.77
O (0.3473, 0.5422, 0.8902)  1 Mo 1.77
O (0.4578, 0.6527, 0.1098)  1 Mo 1.77
O (0.5000, 0.5000, 0.5000)  2 Mo 1.92
O (0.5422, 0.8902, 0.3473)  1 Mo 1.77
O (0.6527, 0.1098, 0.4578)  1 Mo 1.77
O (0.8902, 0.3473, 0.5422)  1 Mo 1.77

***

> The highest D(E_F) belongs to which entry?

CsHgMoO4

***

> Which of these has the highest D(E_F)?

CsHgMoO4

***

Repeat the second record exactly.
# CsHgMoO4

An optimized crystal structure of CsHgMoO4 (PBE+U, Alexandria).

* ρ: 5.32 Mg/m³
* space-group type: P2_1/m
* raw total energy: -5.37 eV/atom
* D(E_F): 0.2322 states/eV per atom

a = 6.4238 Å, b = 6.0587 Å, c = 8.3919 Å
α = 90.00°, β = 109.31°, γ = 90.00°
Last column: nearest neighbours and their distance in Å.
Atoms (fractional coordinates):
Cs (0.2248, 0.2500, 0.0641)  8 O 3.07-3.32
Cs (0.7752, 0.7500, 0.9359)  8 O 3.07-3.32
Hg (0.0925, 0.7500, 0.5777)  3 O 2.45-2.67
Hg (0.9075, 0.2500, 0.4223)  3 O 2.45-2.67
Mo (0.4492, 0.2500, 0.6846)  4 O 1.78-1.82
Mo (0.5508, 0.7500, 0.3154)  4 O 1.78-1.82
O (0.2566, 0.7500, 0.2328)  1 Mo 1.78
O (0.3367, 0.2500, 0.4581)  1 Mo 1.80
O (0.3484, 0.0109, 0.7681)  1 Mo 1.82
O (0.3484, 0.4891, 0.7681)  1 Mo 1.82
O (0.6516, 0.5109, 0.2319)  1 Mo 1.82
O (0.6516, 0.9891, 0.2319)  1 Mo 1.82
O (0.6633, 0.7500, 0.5419)  1 Mo 1.80
O (0.7434, 0.2500, 0.7672)  1 Mo 1.78

***

Copy entry 3 word for word.
# CsHg2Mo2O7

An optimized crystal structure of CsHg2Mo2O7 (PBE+U, Alexandria).

* ρ: 4.88 Mg/m³
* space-group type: R32
* raw total energy: -5.47 eV/atom
* D(E_F): 0.2061 states/eV per atom

a = 9.6621 Å, b = 9.6621 Å, c = 9.6621 Å
α = 36.45°, β = 36.45°, γ = 36.45°
Last column: nearest neighbours and their distance in Å.
Atoms (fractional coordinates):
Cs (0.0000, 0.0000, 0.0000)  6 O 3.15
Hg (0.1896, 0.1896, 0.1896)  3 O 2.78
Hg (0.8104, 0.8104, 0.8104)  3 O 2.78
Mo (0.4289, 0.4289, 0.4289)  4 O 1.77-1.92
Mo (0.5711, 0.5711, 0.5711)  4 O 1.77-1.92
O (0.1098, 0.4578, 0.6527)  1 Mo 1.77
O (0.3473, 0.5422, 0.8902)  1 Mo 1.77
O (0.4578, 0.6527, 0.1098)  1 Mo 1.77
O (0.5000, 0.5000, 0.5000)  2 Mo 1.92
O (0.5422, 0.8902, 0.3473)  1 Mo 1.77
O (0.6527, 0.1098, 0.4578)  1 Mo 1.77
O (0.8902, 0.3473, 0.5422)  1 Mo 1.77